No. 1
Entry from Alexandria: BeTlW after structural relaxation (PBE).

Cell: 5.549 5.549 5.549 Å, 149.86 144.06 47.59°
Fractional coordinates of all 3 atoms:
Be: 0.000 0.000 0.000
Tl: 0.697 0.697 0.000
W: 0.403 0.403 0.000

Calculated values
distance to the lowest polymorph of the same formula: 0 meV/atom
magnetization: 0.000 μB/f.u.
final energy: -5.574 eV/atom
ΔE_f: 74.7 kJ/mol of atoms
SG: Imm2

---

No. 2
Entry from Alexandria: Be2TlW after structural relaxation (PBE).

Cell: 5.435 5.435 5.435 Å, 105.26 105.26 118.27°
Fractional coordinates of all 8 atoms:
Be: 0.117 0.125 0.492
Be: 0.375 0.883 0.008
Be: 0.633 0.625 0.508
Be: 0.875 0.367 0.992
Tl: 0.250 0.750 0.500
Tl: 0.500 0.500 0.000
W: 0.000 0.000 0.000
W: 0.750 0.250 0.500

Calculated values
distance to the lowest polymorph of the same formula: 501 meV/atom
magnetization: 0.000 μB/f.u.
final energy: -4.689 eV/atom
ΔE_f: 96.8 kJ/mol of atoms
SG: I-42d

---

No. 3
Entry from Alexandria: BeTl3W after structural relaxation (PBE).

Cell: 5.431 5.431 5.431 Å, 90.00 90.00 90.00°
Fractional coordinates of all 5 atoms:
Be: 0.000 0.000 0.000
Tl: 0.000 0.500 0.500
Tl: 0.500 0.000 0.500
Tl: 0.500 0.500 0.000
W: 0.500 0.500 0.500

Calculated values
distance to the lowest polymorph of the same formula: 0 meV/atom
magnetization: 0.002 μB/f.u.
final energy: -3.401 eV/atom
ΔE_f: 130.7 kJ/mol of atoms
SG: Pm-3m

---

No. 4
Entry from Alexandria: Be2TlW after structural relaxation (PBE).

Cell: 8.626 8.626 8.626 Å, 19.55 19.55 19.55°
Fractional coordinates of all 4 atoms:
Be: 0.242 0.242 0.242
Be: 0.758 0.758 0.758
Tl: 0.000 0.000 0.000
W: 0.500 0.500 0.500

Calculated values
distance to the lowest polymorph of the same formula: 225 meV/atom
magnetization: 0.000 μB/f.u.
final energy: -4.965 eV/atom
ΔE_f: 70.2 kJ/mol of atoms
SG: R-3m

---

No. 5
Entry from Alexandria: Be2TlW after structural relaxation (PBE).

Cell: 5.260 5.260 5.260 Å, 147.67 126.46 63.94°
Fractional coordinates of all 4 atoms:
Be: 0.229 0.229 0.000
Be: 0.771 0.771 0.000
Tl: 0.500 0.000 0.500
W: 0.000 0.500 0.500

Calculated values
distance to the lowest polymorph of the same formula: 374 meV/atom
magnetization: 0.000 μB/f.u.
final energy: -4.816 eV/atom
ΔE_f: 84.6 kJ/mol of atoms
SG: Immm

---

No. 6
Entry from Alexandria: YBeTl2 after structural relaxation (PBE).

Cell: 3.491 3.491 7.449 Å, 90.00 90.00 90.00°
Fractional coordinates of all 4 atoms:
Y: 0.000 0.000 0.000
Be: 0.000 0.000 0.500
Tl: 0.500 0.500 0.292
Tl: 0.500 0.500 0.708

Calculated values
distance to the lowest polymorph of the same formula: 143 meV/atom
magnetization: 0.644 μB/f.u.
final energy: -3.515 eV/atom
ΔE_f: 20.8 kJ/mol of atoms
SG: P4/mmm

---

No. 7
Entry from Alexandria: Y2BeTl after structural relaxation (PBE).

Cell: 9.117 9.117 9.117 Å, 23.29 23.29 23.29°
Fractional coordinates of all 4 atoms:
Y: 0.236 0.236 0.236
Y: 0.764 0.764 0.764
Be: 0.500 0.500 0.500
Tl: 0.000 0.000 0.000

Calculated values
distance to the lowest polymorph of the same formula: 169 meV/atom
magnetization: 0.000 μB/f.u.
final energy: -4.735 eV/atom
ΔE_f: 1.9 kJ/mol of atoms
SG: R-3m

---

No. 8
Entry from Alexandria: Y2BeTl after structural relaxation (PBE).

Cell: 6.167 6.167 6.167 Å, 146.11 132.62 59.52°
Fractional coordinates of all 4 atoms:
Y: 0.000 0.000 0.000
Y: 0.723 0.223 0.500
Be: 0.249 0.749 0.500
Tl: 0.429 0.429 0.000

Calculated values
distance to the lowest polymorph of the same formula: 110 meV/atom
magnetization: 0.000 μB/f.u.
final energy: -4.794 eV/atom
ΔE_f: -3.8 kJ/mol of atoms
SG: Imm2

---

No. 9
Entry from Alexandria: YBeTl2 after structural relaxation (PBE).

Cell: 4.501 4.501 4.508 Å, 90.00 90.00 90.00°
Fractional coordinates of all 4 atoms:
Y: 0.000 0.000 0.000
Be: 0.500 0.500 0.000
Tl: 0.000 0.500 0.500
Tl: 0.500 0.000 0.500

Calculated values
distance to the lowest polymorph of the same formula: 20 meV/atom
magnetization: 0.000 μB/f.u.
final energy: -3.638 eV/atom
ΔE_f: 8.9 kJ/mol of atoms
SG: P4/mmm

---

No. 10
Entry from Alexandria: YBeTl2 after structural relaxation (PBE).

Cell: 3.466 3.466 8.064 Å, 90.00 90.00 90.00°
Fractional coordinates of all 4 atoms:
Y: 0.000 0.000 0.000
Be: 0.500 0.500 0.197
Tl: 0.000 0.000 0.403
Tl: 0.500 0.500 0.703

Calculated values
distance to the lowest polymorph of the same formula: 102 meV/atom
magnetization: 0.321 μB/f.u.
final energy: -3.556 eV/atom
ΔE_f: 16.9 kJ/mol of atoms
SG: P4mm

---

No. 11
Entry from Alexandria: YBe2Tl after structural relaxation (PBE).

Cell: 5.977 5.977 5.977 Å, 142.35 141.80 54.72°
Fractional coordinates of all 4 atoms:
Y: 0.000 0.000 0.000
Be: 0.301 0.801 0.500
Be: 0.388 0.388 0.000
Tl: 0.734 0.234 0.500

Calculated values
distance to the lowest polymorph of the same formula: 222 meV/atom
magnetization: 0.000 μB/f.u.
final energy: -3.837 eV/atom
ΔE_f: 22.5 kJ/mol of atoms
SG: Imm2

---

No. 12
Entry from Alexandria: YBe2Tl after structural relaxation (PBE).

Cell: 4.412 4.412 3.813 Å, 90.00 90.00 90.00°
Fractional coordinates of all 4 atoms:
Y: 0.000 0.000 0.000
Be: 0.000 0.500 0.500
Be: 0.500 0.000 0.500
Tl: 0.500 0.500 0.000

Calculated values
distance to the lowest polymorph of the same formula: 249 meV/atom
magnetization: 0.000 μB/f.u.
final energy: -3.809 eV/atom
ΔE_f: 25.2 kJ/mol of atoms
SG: P4/mmm

---

No. 13
Entry from Alexandria: YBe2Tl after structural relaxation (PBE).

Cell: 8.891 8.891 8.891 Å, 150.94 150.94 41.57°
Fractional coordinates of all 8 atoms:
Y: 0.375 0.625 0.750
Y: 0.625 0.375 0.250
Be: 0.000 0.000 0.000
Be: 0.000 0.000 0.500
Be: 0.000 0.500 0.000
Be: 0.500 0.000 0.500
Tl: 0.125 0.875 0.250
Tl: 0.875 0.125 0.750

Calculated values
distance to the lowest polymorph of the same formula: 310 meV/atom
magnetization: 0.000 μB/f.u.
final energy: -3.749 eV/atom
ΔE_f: 31.1 kJ/mol of atoms
SG: I4_1/amd

---

No. 14
Entry from Alexandria: YBe2Tl after structural relaxation (PBE).

Cell: 3.349 3.349 6.683 Å, 90.00 90.00 90.00°
Fractional coordinates of all 4 atoms:
Y: 0.000 0.000 0.000
Be: 0.500 0.500 0.285
Be: 0.500 0.500 0.715
Tl: 0.000 0.000 0.500

Calculated values
distance to the lowest polymorph of the same formula: 386 meV/atom
magnetization: 0.206 μB/f.u.
final energy: -3.673 eV/atom
ΔE_f: 38.4 kJ/mol of atoms
SG: P4/mmm

---

No. 15
Entry from Alexandria: Y2BeTl after structural relaxation (PBE).

Cell: 5.164 5.164 5.164 Å, 60.00 60.00 60.00°
Fractional coordinates of all 4 atoms:
Y: 0.000 0.000 0.000
Y: 0.250 0.250 0.250
Be: 0.500 0.500 0.500
Tl: 0.750 0.750 0.750

Calculated values
distance to the lowest polymorph of the same formula: 616 meV/atom
magnetization: 1.837 μB/f.u.
final energy: -4.288 eV/atom
ΔE_f: 45.0 kJ/mol of atoms
SG: F-43m

---

No. 16
Entry from Alexandria: YBeTl2 after structural relaxation (PBE).

Cell: 5.148 5.148 5.148 Å, 60.00 60.00 60.00°
Fractional coordinates of all 4 atoms:
Y: 0.000 0.000 0.000
Be: 0.750 0.750 0.750
Tl: 0.250 0.250 0.250
Tl: 0.500 0.500 0.500

Calculated values
distance to the lowest polymorph of the same formula: 240 meV/atom
magnetization: 0.000 μB/f.u.
final energy: -3.418 eV/atom
ΔE_f: 30.2 kJ/mol of atoms
SG: F-43m

---

No. 17
Entry from Alexandria: YBeTl2 after structural relaxation (PBE).

Cell: 8.977 8.977 8.977 Å, 23.78 23.78 23.78°
Fractional coordinates of all 4 atoms:
Y: 0.000 0.000 0.000
Be: 0.736 0.736 0.736
Tl: 0.232 0.232 0.232
Tl: 0.463 0.463 0.463

Calculated values
distance to the lowest polymorph of the same formula: 210 meV/atom
magnetization: 0.000 μB/f.u.
final energy: -3.448 eV/atom
ΔE_f: 27.3 kJ/mol of atoms
SG: R3m

---

No. 18
Entry from Alexandria: YBeTl2 after structural relaxation (PBE).

Cell: 6.283 6.283 3.600 Å, 106.05 106.05 120.60°
Fractional coordinates of all 4 atoms:
Y: 0.000 0.000 0.000
Be: 0.500 0.500 0.000
Tl: 0.000 0.500 0.500
Tl: 0.500 0.000 0.500

Calculated values
distance to the lowest polymorph of the same formula: 233 meV/atom
magnetization: 0.000 μB/f.u.
final energy: -3.425 eV/atom
ΔE_f: 29.5 kJ/mol of atoms
SG: C2/m

---

No. 19
Entry from Alexandria: YBeTl2 after structural relaxation (PBE).

Cell: 10.656 10.656 10.656 Å, 155.61 155.61 34.77°
Fractional coordinates of all 8 atoms:
Y: 0.000 0.000 0.000
Y: 0.750 0.250 0.500
Be: 0.250 0.750 0.500
Be: 0.500 0.500 0.000
Tl: 0.154 0.625 0.029
Tl: 0.375 0.404 0.529
Tl: 0.596 0.125 0.971
Tl: 0.875 0.846 0.471

Calculated values
distance to the lowest polymorph of the same formula: 266 meV/atom
magnetization: 0.000 μB/f.u.
final energy: -3.392 eV/atom
ΔE_f: 32.7 kJ/mol of atoms
SG: I-42d

---

No. 20
Entry from Alexandria: Y2BeTl after structural relaxation (PBE).

Cell: 4.409 6.104 6.104 Å, 36.85 90.00 90.00°
Fractional coordinates of all 4 atoms:
Y: 0.000 0.000 0.000
Y: 0.500 0.309 0.309
Be: 0.500 0.577 0.577
Tl: 0.000 0.715 0.715

Calculated values
distance to the lowest polymorph of the same formula: 63 meV/atom
magnetization: 0.390 μB/f.u.
final energy: -4.841 eV/atom
ΔE_f: -8.3 kJ/mol of atoms
SG: Amm2

---

No. 21
Entry from Alexandria: YBe2Tl after structural relaxation (PBE).

Cell: 3.574 4.224 5.225 Å, 90.00 90.00 90.00°
Fractional coordinates of all 4 atoms:
Y: 0.000 0.000 0.000
Be: 0.500 0.500 0.214
Be: 0.500 0.500 0.786
Tl: 0.500 0.000 0.500

Calculated values
distance to the lowest polymorph of the same formula: 221 meV/atom
magnetization: 0.000 μB/f.u.
final energy: -3.838 eV/atom
ΔE_f: 22.4 kJ/mol of atoms
SG: Pmmm

---

No. 22
Entry from Alexandria: YBeTl2 after structural relaxation (PBE).

Cell: 6.027 6.027 4.670 Å, 112.78 112.78 38.03°
Fractional coordinates of all 4 atoms:
Y: 0.000 0.000 0.000
Be: 0.268 0.268 0.766
Tl: 0.588 0.588 0.588
Tl: 0.794 0.794 0.294

Calculated values
distance to the lowest polymorph of the same formula: 75 meV/atom
magnetization: 0.000 μB/f.u.
final energy: -3.583 eV/atom
ΔE_f: 14.2 kJ/mol of atoms
SG: Cm

---

No. 23
Entry from Alexandria: YBeTl2 after structural relaxation (PBE).

Cell: 5.662 5.662 5.662 Å, 133.55 133.55 67.80°
Fractional coordinates of all 4 atoms:
Y: 0.000 0.000 0.000
Be: 0.500 0.500 0.000
Tl: 0.250 0.750 0.500
Tl: 0.750 0.250 0.500

Calculated values
distance to the lowest polymorph of the same formula: 131 meV/atom
magnetization: 0.000 μB/f.u.
final energy: -3.527 eV/atom
ΔE_f: 19.7 kJ/mol of atoms
SG: I4/mmm

---

No. 24
Entry from Alexandria: YBeTl2 after structural relaxation (PBE).

Cell: 3.588 3.588 7.516 Å, 90.00 90.00 104.90°
Fractional coordinates of all 4 atoms:
Y: 0.000 0.000 0.000
Be: 0.000 0.000 0.500
Tl: 0.500 0.500 0.295
Tl: 0.500 0.500 0.705

Calculated values
distance to the lowest polymorph of the same formula: 112 meV/atom
magnetization: 0.000 μB/f.u.
final energy: -3.546 eV/atom
ΔE_f: 17.8 kJ/mol of atoms
SG: Cmmm

---

No. 25
Entry from Alexandria: YBeTl2 after structural relaxation (PBE).

Cell: 3.665 4.402 6.219 Å, 90.00 107.04 90.00°
Fractional coordinates of all 4 atoms:
Y: 0.000 0.000 0.000
Be: 0.583 0.500 0.170
Tl: 0.356 0.500 0.712
Tl: 0.722 0.000 0.445

Calculated values
distance to the lowest polymorph of the same formula: 89 meV/atom
magnetization: 0.000 μB/f.u.
final energy: -3.569 eV/atom
ΔE_f: 15.6 kJ/mol of atoms
SG: Pm

---

No. 26
Entry from Alexandria: Y2BeTl after structural relaxation (PBE).

Cell: 3.568 3.568 7.412 Å, 90.00 90.00 90.00°
Fractional coordinates of all 4 atoms:
Y: 0.000 0.000 0.219
Y: 0.000 0.000 0.781
Be: 0.500 0.500 0.000
Tl: 0.500 0.500 0.500

Calculated values
distance to the lowest polymorph of the same formula: 0 meV/atom
magnetization: 0.000 μB/f.u.
final energy: -4.904 eV/atom
ΔE_f: -14.3 kJ/mol of atoms
SG: P4/mmm

---

No. 27
Entry from Alexandria: Y4BeTl after structural relaxation (PBE).

Cell: 6.269 6.269 6.269 Å, 60.00 60.00 60.00°
Fractional coordinates of all 6 atoms:
Y: 0.125 0.125 0.125
Y: 0.125 0.125 0.625
Y: 0.125 0.625 0.125
Y: 0.625 0.125 0.125
Be: 0.750 0.750 0.750
Tl: 0.500 0.500 0.500

Calculated values
magnetization: 0.000 μB/f.u.
final energy: -4.695 eV/atom
ΔE_f: 60.8 kJ/mol of atoms
SG: F-43m

---

No. 28
Entry from Alexandria: YBe2Tl after structural relaxation (PBE).

Cell: 3.906 3.906 6.099 Å, 108.61 108.61 60.01°
Fractional coordinates of all 4 atoms:
Y: 0.000 0.000 0.000
Be: 0.226 0.226 0.676
Be: 0.558 0.558 0.672
Tl: 0.804 0.804 0.408

Calculated values
distance to the lowest polymorph of the same formula: 0 meV/atom
magnetization: 0.000 μB/f.u.
final energy: -4.059 eV/atom
ΔE_f: 1.2 kJ/mol of atoms
SG: Cm

---

No. 29
Entry from Alexandria: Y2BeTl after structural relaxation (PBE).

Cell: 3.575 4.672 6.226 Å, 90.00 90.00 90.00°
Fractional coordinates of all 4 atoms:
Y: 0.000 0.000 0.000
Y: 0.500 0.500 0.341
Be: 0.000 0.000 0.475
Tl: 0.500 0.500 0.818

Calculated values
distance to the lowest polymorph of the same formula: 322 meV/atom
magnetization: 0.000 μB/f.u.
final energy: -4.582 eV/atom
ΔE_f: 16.7 kJ/mol of atoms
SG: Pmm2

---

No. 30
Entry from Alexandria: YBe2Tl after structural relaxation (PBE).

Cell: 5.519 5.519 5.519 Å, 43.76 43.76 43.76°
Fractional coordinates of all 4 atoms:
Y: 0.000 0.000 0.000
Be: 0.208 0.208 0.208
Be: 0.792 0.792 0.792
Tl: 0.500 0.500 0.500

Calculated values
distance to the lowest polymorph of the same formula: 124 meV/atom
magnetization: 0.000 μB/f.u.
final energy: -3.934 eV/atom
ΔE_f: 13.2 kJ/mol of atoms
SG: R-3m